(1)
# Te2SeCl

Te2SeCl after structural relaxation (PBE, the Alexandria database).

Lattice parameters (Å, degrees): 7.298 7.298 7.298 90.00 90.00 90.00
Sites, in units of the cell vectors:
Te: 0.250 0.250 0.250
Te: 0.250 0.250 0.750
Te: 0.250 0.750 0.250
Te: 0.250 0.750 0.750
Te: 0.750 0.250 0.250
Te: 0.750 0.250 0.750
Te: 0.750 0.750 0.250
Te: 0.750 0.750 0.750
Se: 0.000 0.000 0.000
Se: 0.000 0.500 0.500
Se: 0.500 0.000 0.500
Se: 0.500 0.500 0.000
Cl: 0.000 0.000 0.500
Cl: 0.000 0.500 0.000
Cl: 0.500 0.000 0.000
Cl: 0.500 0.500 0.500

Properties
N(E_F): 0.646 states/eV/atom
Formation energy without anion corrections: 309 meV/atom
Distance to the lowest polymorph of the same formula: 1.83 eV per formula unit

(2)
# Sm2ErTe2S2

Sm2ErTe2S2 after structural relaxation (PBE, the Alexandria database).

Lattice parameters (Å, degrees): 5.017 5.017 15.917 90.00 90.00 90.00
Sites, in units of the cell vectors:
Sm: 0.000 0.000 0.114
Sm: 0.000 0.000 0.886
Sm: 0.500 0.500 0.386
Sm: 0.500 0.500 0.614
Er: 0.000 0.000 0.500
Er: 0.500 0.500 0.000
Te: 0.000 0.000 0.313
Te: 0.000 0.000 0.687
Te: 0.500 0.500 0.187
Te: 0.500 0.500 0.813
S: 0.000 0.500 0.000
S: 0.000 0.500 0.500
S: 0.500 0.000 0.000
S: 0.500 0.000 0.500

Properties
N(E_F): 0.406 states/eV/atom
Formation energy without anion corrections: -1459 meV/atom

(3)
# Ca2MgZnRh

Ca2MgZnRh after structural relaxation (PBE, the Alexandria database).

Lattice parameters (Å, degrees): 5.390 5.390 4.933 90.00 90.00 90.00
Sites, in units of the cell vectors:
Ca: 0.000 0.500 0.000
Ca: 0.500 0.000 0.000
Mg: 0.000 0.000 0.500
Zn: 0.500 0.500 0.500
Rh: 0.500 0.500 0.000

Properties
N(E_F): 0.595 states/eV/atom
Formation energy from the elements: -0.1086 eV per atom

(4)
# TaWS4

TaWS4 after structural relaxation (PBE, the Alexandria database).

Lattice parameters (Å, degrees): 6.533 5.583 6.947 90.00 117.84 90.00
Sites, in units of the cell vectors:
Ta: 0.000 0.000 0.000
Ta: 0.000 0.500 0.500
W: 0.500 0.000 0.000
W: 0.500 0.500 0.500
S: 0.173 0.234 0.340
S: 0.173 0.266 0.840
S: 0.336 0.736 0.168
S: 0.336 0.764 0.668
S: 0.664 0.236 0.332
S: 0.664 0.264 0.832
S: 0.827 0.734 0.160
S: 0.827 0.766 0.660

Properties
N(E_F): 0.557 states/eV/atom
Formation energy without anion corrections: -631 meV/atom
Distance to the lowest polymorph of the same formula: 0.86 eV per formula unit

(5)
# AgGeSb2

AgGeSb2 after structural relaxation (PBE, the Alexandria database).

Lattice parameters (Å, degrees): 3.308 3.308 31.164 90.00 90.00 120.00
Sites, in units of the cell vectors:
Ag: 0.000 0.000 0.000
Ag: 0.333 0.667 0.667
Ag: 0.667 0.333 0.333
Ge: 0.000 0.000 0.500
Ge: 0.333 0.667 0.167
Ge: 0.667 0.333 0.833
Sb: 0.000 0.000 0.090
Sb: 0.000 0.000 0.910
Sb: 0.333 0.667 0.577
Sb: 0.333 0.667 0.756
Sb: 0.667 0.333 0.244
Sb: 0.667 0.333 0.423

Properties
N(E_F): 0.310 states/eV/atom
Formation energy without anion corrections: 314 meV/atom

(6)
# Cd12H5Au3

Cd12H5Au3 after structural relaxation (PBE, the Alexandria database).

Lattice parameters (Å, degrees): 12.438 12.438 12.438 109.47 109.47 109.47
Sites, in units of the cell vectors:
Cd: 0.022 0.207 0.111
Cd: 0.022 0.316 0.911
Cd: 0.089 0.611 0.404
Cd: 0.089 0.978 0.684
Cd: 0.096 0.707 0.684
Cd: 0.096 0.889 0.411
Cd: 0.111 0.022 0.207
Cd: 0.111 0.589 0.904
Cd: 0.184 0.207 0.596
Cd: 0.184 0.478 0.589
Cd: 0.207 0.111 0.022
Cd: 0.207 0.596 0.184
Cd: 0.293 0.316 0.904
Cd: 0.293 0.478 0.389
Cd: 0.316 0.904 0.293
Cd: 0.316 0.911 0.022
Cd: 0.389 0.293 0.478
Cd: 0.389 0.596 0.911
Cd: 0.404 0.089 0.611
Cd: 0.404 0.816 0.793
Cd: 0.411 0.096 0.889
Cd: 0.411 0.816 0.522
Cd: 0.478 0.389 0.293
Cd: 0.478 0.589 0.184
Cd: 0.522 0.411 0.816
Cd: 0.522 0.611 0.707
Cd: 0.589 0.184 0.478
Cd: 0.589 0.904 0.111
Cd: 0.596 0.184 0.207
Cd: 0.596 0.911 0.389
Cd: 0.611 0.404 0.089
Cd: 0.611 0.707 0.522
Cd: 0.684 0.089 0.978
Cd: 0.684 0.096 0.707
Cd: 0.707 0.522 0.611
Cd: 0.707 0.684 0.096
Cd: 0.793 0.404 0.816
Cd: 0.793 0.889 0.978
Cd: 0.816 0.522 0.411
Cd: 0.816 0.793 0.404
Cd: 0.889 0.411 0.096
Cd: 0.889 0.978 0.793
Cd: 0.904 0.111 0.589
Cd: 0.904 0.293 0.316
Cd: 0.911 0.022 0.316
Cd: 0.911 0.389 0.596
Cd: 0.978 0.684 0.089
Cd: 0.978 0.793 0.889
H: 0.000 0.000 0.000
H: 0.000 0.000 0.500
H: 0.000 0.500 0.000
H: 0.000 0.500 0.500
H: 0.125 0.750 0.875
H: 0.125 0.875 0.250
H: 0.250 0.125 0.875
H: 0.250 0.625 0.375
H: 0.375 0.250 0.625
H: 0.375 0.625 0.750
H: 0.500 0.000 0.000
H: 0.500 0.000 0.500
H: 0.500 0.500 0.000
H: 0.500 0.500 0.500
H: 0.625 0.375 0.250
H: 0.625 0.750 0.375
H: 0.750 0.375 0.625
H: 0.750 0.875 0.125
H: 0.875 0.125 0.750
H: 0.875 0.250 0.125
Au: 0.125 0.250 0.375
Au: 0.125 0.375 0.750
Au: 0.250 0.375 0.125
Au: 0.250 0.875 0.625
Au: 0.375 0.125 0.250
Au: 0.375 0.750 0.125
Au: 0.625 0.250 0.875
Au: 0.625 0.875 0.750
Au: 0.750 0.125 0.375
Au: 0.750 0.625 0.875
Au: 0.875 0.625 0.250
Au: 0.875 0.750 0.625

Properties
VASP energy: -1.701 eV/atom
N(E_F): 0.387 states/eV/atom